# PBE Ce3Bi3Au2, optimized geometry
# DFT formation energy: -4.81 eV per formula unit
# Density of states at the Fermi level: 35.8 states/eV/cell
# Total magnetization: 2.82 μB per formula unit
data_Ce3Bi3Au2
_chemical_formula_sum 'Ce6 Bi6 Au4'
_cell_length_a 20.921
_cell_length_b 4.486
_cell_length_c 4.871
_cell_angle_alpha 90.00
_cell_angle_beta 97.06
_cell_angle_gamma 90.00
_space_group_name_H-M_alt 'C 1 2/m 1'
_space_group_IT_number 12
loop_
_space_group_symop_operation_xyz
'x,y,z'
'-x,-y,-z'
'-x,y,-z'
'x,-y,z'
'x+1/2,y+1/2,z'
'-x+1/2,-y+1/2,-z'
'-x+1/2,y+1/2,-z'
'x+1/2,-y+1/2,z'
loop_
_atom_site_label
_atom_site_fract_x
_atom_site_fract_y
_atom_site_fract_z
Ce1 0.000 0.000 0.000
Ce2 0.153 0.000 0.651
Bi1 0.000 0.500 0.500
Bi2 0.131 0.500 0.150
Au1 0.249 0.000 0.219